Entry 1:
Density functional theory data (PBE) for a relaxed Ta2SiPb crystal.

```
Ta2SiPb
1.0
-5.1251 -1.1579 -2.3534
0.7856 -1.0127 5.1649
-1.6853 2.1765 1.2699
Ta Si Pb
2 1 1
Direct
0.0000 0.0000 0.0000 Ta
0.5000 0.0000 0.5000 Ta
0.5000 0.5000 0.0000 Si
0.0000 0.5000 0.5000 Pb
```

Values from the calculation:
* energy relative to the elements, uncorrected: 422 meV/atom
* crystal system: monoclinic
* VASP energy: -31.15 eV for the cell shown
* space group: C2/m, No. 12
* total magnetization: 0.0 μB per formula unit

---

Entry 2:
Density functional theory data (PBE) for a relaxed TaSi2Pb crystal.

```
TaSi2Pb
1.0
-1.9604 2.3858 0.2195
-0.6882 -1.7126 2.4853
5.7229 4.2849 4.5374
Si Pb Ta
2 1 1
Direct
0.0000 0.0000 0.4582 Si
0.0000 0.0000 0.0418 Si
0.5000 0.5000 0.7500 Pb
0.5000 0.5000 0.2500 Ta
```

Values from the calculation:
* energy relative to the elements, uncorrected: 243 meV/atom
* crystal system: orthorhombic
* VASP energy: -25.43 eV for the cell shown
* space group: Cmmm, No. 65
* total magnetization: 0.0 μB per formula unit

---

Entry 3:
Density functional theory data (PBE) for a relaxed TaSi2Pb crystal.

```
TaSi2Pb
1.0
-4.9332 -0.5257 -5.3663
-6.5586 -1.1118 -3.0263
-1.9461 3.9071 -0.3732
Ta Si Pb
1 2 1
Direct
0.4859 0.4859 0.5131 Ta
0.8212 0.8212 0.6798 Si
0.9952 0.9952 0.0039 Si
0.1977 0.1977 0.3032 Pb
```

Values from the calculation:
* energy relative to the elements, uncorrected: 293 meV/atom
* crystal system: monoclinic
* VASP energy: -25.24 eV for the cell shown
* space group: Cm, No. 8
* total magnetization: 0.0 μB per formula unit

---

Entry 4:
Density functional theory data (PBE) for a relaxed Ta2SiPb crystal.

```
Ta2SiPb
1.0
3.4218 0.0000 0.0000
0.0000 3.4218 0.0000
0.0000 0.0000 6.7212
Pb Ta Si
1 2 1
Direct
0.0000 0.0000 0.4967 Pb
0.0000 0.0000 0.9767 Ta
0.5000 0.5000 0.2101 Ta
0.5000 0.5000 0.8165 Si
```

Values from the calculation:
* energy relative to the elements, uncorrected: 150 meV/atom
* crystal system: tetragonal
* VASP energy: -32.24 eV for the cell shown
* space group: P4mm, No. 99
* total magnetization: 0.0 μB per formula unit

---

Entry 5:
Density functional theory data (PBE) for a relaxed Ta2SiPb crystal.

```
Ta2SiPb
1.0
-0.3493 -3.0501 0.9661
2.8277 0.1601 1.5279
-1.3533 2.4678 7.3019
Ta Si Pb
2 1 1
Direct
0.0000 0.1056 0.9392 Ta
0.0000 0.3944 0.5608 Ta
0.5000 0.7500 0.7500 Si
0.5000 0.2500 0.2500 Pb
```

Values from the calculation:
* energy relative to the elements, uncorrected: 162 meV/atom
* crystal system: monoclinic
* VASP energy: -32.19 eV for the cell shown
* space group: P2/m, No. 10
* total magnetization: 0.0 μB per formula unit

---

Entry 6:
Density functional theory data (PBE) for a relaxed TaSiPb3 crystal.

```
TaSiPb3
1.0
5.4977 0.0000 0.0000
0.0000 5.4977 0.0000
0.0000 0.0000 5.4977
Pb Ta Si
3 1 1
Direct
0.5000 0.0000 0.0000 Pb
0.0000 0.0000 0.5000 Pb
0.0000 0.5000 0.0000 Pb
0.0000 0.0000 0.0000 Ta
0.5000 0.5000 0.5000 Si
```

Values from the calculation:
* energy relative to the elements, uncorrected: 1002 meV/atom
* crystal system: cubic
* VASP energy: -23.39 eV for the cell shown
* space group: Pm-3m, No. 221
* total magnetization: 0.0 μB per formula unit

---

Entry 7:
Density functional theory data (PBE) for a relaxed TaSiPb crystal.

```
TaSiPb
1.0
3.1968 0.0000 0.0000
-1.5984 2.7685 0.0000
0.0000 0.0000 6.8917
Pb Si Ta
1 1 1
Direct
0.0000 0.0000 0.0002 Pb
0.6667 0.3333 0.3629 Si
0.3333 0.6667 0.6369 Ta
```

Values from the calculation:
* energy relative to the elements, uncorrected: 397 meV/atom
* crystal system: trigonal
* VASP energy: -19.79 eV for the cell shown
* space group: P3m1, No. 156
* total magnetization: 0.0 μB per formula unit

---

Entry 8:
Density functional theory data (PBE) for a relaxed TaSiPb2 crystal.

```
TaSiPb2
1.0
-0.2261 -1.3664 2.8889
3.0937 0.6324 0.5412
-2.2310 7.8758 3.5507
Pb Si Ta
2 1 1
Direct
0.0000 0.0000 0.9993 Pb
0.0000 0.0000 0.5007 Pb
0.5000 0.5000 0.2500 Si
0.5000 0.5000 0.7500 Ta
```

Values from the calculation:
* energy relative to the elements, uncorrected: 748 meV/atom
* crystal system: tetragonal
* VASP energy: -21.70 eV for the cell shown
* space group: P4/mmm, No. 123
* total magnetization: 0.0 μB per formula unit

---

Entry 9:
Density functional theory data (PBE) for a relaxed TaSiPb2 crystal.

```
TaSiPb2
1.0
3.6135 0.0000 0.0000
0.0000 4.9422 0.0000
0.0000 0.0000 5.0063
Si Pb Ta
1 2 1
Direct
0.5000 0.0000 0.5000 Si
0.0000 0.0000 0.0000 Pb
0.5000 0.5000 0.0000 Pb
0.0000 0.5000 0.5000 Ta
```

Values from the calculation:
* energy relative to the elements, uncorrected: 778 meV/atom
* crystal system: orthorhombic
* VASP energy: -21.58 eV for the cell shown
* space group: Pmmm, No. 47
* total magnetization: 0.0 μB per formula unit

---

Entry 10:
Density functional theory data (PBE) for a relaxed TaSiPb2 crystal.

```
TaSiPb2
1.0
5.7824 0.0225 0.0000
2.6058 5.1621 0.0000
-4.1941 -2.5923 3.0210
Pb Si Ta
2 1 1
Direct
0.2500 0.7500 0.5000 Pb
0.0000 0.0000 0.0000 Pb
0.5000 0.5000 0.0000 Si
0.7500 0.2500 0.5000 Ta
```

Values from the calculation:
* energy relative to the elements, uncorrected: 777 meV/atom
* crystal system: tetragonal
* VASP energy: -21.59 eV for the cell shown
* space group: I-4m2, No. 119
* total magnetization: 0.0 μB per formula unit

---

Entry 11:
Density functional theory data (PBE) for a relaxed TaSiPb2 crystal.

```
TaSiPb2
1.0
-0.6530 3.2501 -4.5046
3.3678 -1.5550 -4.1858
-4.0759 -1.9879 3.2736
Pb Si Ta
2 1 1
Direct
0.9866 0.9866 0.0000 Pb
0.5134 0.5134 0.0000 Pb
0.7500 0.2500 0.5000 Si
0.2500 0.7500 0.5000 Ta
```

Values from the calculation:
* energy relative to the elements, uncorrected: 718 meV/atom
* crystal system: orthorhombic
* VASP energy: -21.82 eV for the cell shown
* space group: Immm, No. 71
* total magnetization: 0.0 μB per formula unit

---

Entry 12:
Density functional theory data (PBE) for a relaxed TaSiPb2 crystal.

```
TaSiPb2
1.0
5.8607 0.0008 0.0000
2.7739 5.1627 0.0000
-4.3173 -2.5817 3.0072
Si Pb Ta
1 2 1
Direct
0.2500 0.7500 0.5000 Si
0.5000 0.5000 0.0000 Pb
0.0000 0.0000 0.0000 Pb
0.7500 0.2500 0.5000 Ta
```

Values from the calculation:
* energy relative to the elements, uncorrected: 766 meV/atom
* crystal system: tetragonal
* VASP energy: -21.63 eV for the cell shown
* space group: I4/mmm, No. 139
* total magnetization: 0.0 μB per formula unit